(1)
Computed, not measured: a crystal of MoPt2 relaxed with PBEsol at the meta-GGA SCAN level of DFT.

Calculated values
**ΔE_f**: -401 meV/atom
**Offset from the most stable computed form**: 0.125 eV per formula unit
**Density of states at the Fermi level**: 1.79 states/eV/f.u.
**Magnetization**: 0.00 μB per formula unit
**Uncorrected energy**: -352.95 eV/cell

Unit cell a=2.743 b=2.743 c=11.882 alpha=90.00 beta=90.00 gamma=90.00
Space group I4/mmm (No. 139)
Symmetry-distinct sites (fractional):
Mo  0.000  0.000  0.000 (multiplicity 2)
Pt  0.000  0.000  0.340 (multiplicity 4)

(2)
Computed, not measured: a crystal of KLi2GaH relaxed with PBEsol at the meta-GGA SCAN level of DFT.

Calculated values
**Density of states at the Fermi level**: 2.22 states/eV/f.u.
**Magnetization**: 0.10 μB per formula unit
**Uncorrected energy**: -32.52 eV/cell

Unit cell a=4.445 b=4.445 c=5.110 alpha=90.00 beta=90.00 gamma=90.00
Space group P4/mmm (No. 123)
Symmetry-distinct sites (fractional):
K  0.000  0.000  0.000 (multiplicity 1)
Li  0.000  0.500  0.500 (multiplicity 2)
Ga  0.500  0.500  0.000 (multiplicity 1)
H  0.000  0.000  0.500 (multiplicity 1)

(3)
Computed, not measured: a crystal of Ba3LaTa3O12 relaxed with PBEsol at the meta-GGA SCAN level of DFT.

Calculated values
**Density of states at the Fermi level**: 0.00 states/eV/f.u.
**Magnetization**: 0.00 μB per formula unit
**Uncorrected energy**: -1497.42 eV/cell

Unit cell a=5.7319 b=5.7319 c=27.5876 alpha=90.00 beta=90.00 gamma=120.00
Space group R3m (No. 160, hexagonal axes)
Symmetry-distinct sites (fractional):
Ba  0.0000  0.0000  0.0000 (multiplicity 3)
Ba  0.0000  0.0000  0.1544 (multiplicity 3)
Ba  0.0000  0.0000  0.5766 (multiplicity 3)
La  0.0000  0.0000  0.4327 (multiplicity 3)
Ta  0.0000  0.0000  0.2880 (multiplicity 3)
Ta  0.0000  0.0000  0.7112 (multiplicity 3)
Ta  0.0000  0.0000  0.8642 (multiplicity 3)
O  0.0012  0.5006  0.1631 (multiplicity 9)
O  0.0014  0.5007  0.4101 (multiplicity 9)
O  0.0029  0.5015  0.9944 (multiplicity 9)
O  0.1674  0.3348  0.9117 (multiplicity 9)

(4)
Computed, not measured: a crystal of YCoMo relaxed with PBEsol at the meta-GGA SCAN level of DFT.

Calculated values
**ΔE_f**: 160 meV/atom
**Density of states at the Fermi level**: 1.78 states/eV/f.u.
**Magnetization**: 0.00 μB per formula unit
**Uncorrected energy**: -79.55 eV/cell

Unit cell a=3.9075 b=3.9075 c=4.3533 alpha=90.00 beta=90.00 gamma=120.00
Space group P-6m2 (No. 187)
Symmetry-distinct sites (fractional):
Y  0.0000  0.0000  0.0000 (multiplicity 1)
Co  0.3333  0.6667  0.5000 (multiplicity 1)
Mo  0.6667  0.3333  0.5000 (multiplicity 1)

(5)
Computed, not measured: a crystal of PAuO3 relaxed with PBEsol at the meta-GGA SCAN level of DFT.

Calculated values
**Density of states at the Fermi level**: 2.26 states/eV/f.u.
**Magnetization**: 0.00 μB per formula unit
**Uncorrected energy**: -94.45 eV/cell

Unit cell a=3.971 b=3.971 c=3.971 alpha=90.00 beta=90.00 gamma=90.00
Space group Pm-3m (No. 221)
Symmetry-distinct sites (fractional):
P  0.000  0.000  0.000 (multiplicity 1)
Au  0.500  0.500  0.500 (multiplicity 1)
O  0.000  0.500  0.500 (multiplicity 3)

(6)
Computed, not measured: a crystal of BeZn2Rh relaxed with PBEsol at the meta-GGA SCAN level of DFT.

Calculated values
**ΔE_f**: -373 meV/atom
**Offset from the most stable computed form**: 0.000 eV per formula unit
**Density of states at the Fermi level**: 1.25 states/eV/f.u.
**Magnetization**: 0.00 μB per formula unit
**Uncorrected energy**: -133.29 eV/cell

Unit cell a=3.460 b=3.460 c=8.023 alpha=90.00 beta=90.00 gamma=90.00
Space group I4/mmm (No. 139)
Symmetry-distinct sites (fractional):
Be  0.000  0.000  0.000 (multiplicity 2)
Zn  0.000  0.500  0.250 (multiplicity 4)
Rh  0.000  0.000  0.500 (multiplicity 2)

(7)
Computed, not measured: a crystal of SrP2SCl relaxed with PBEsol at the meta-GGA SCAN level of DFT.

Calculated values
**Density of states at the Fermi level**: 1.85 states/eV/f.u.
**Magnetization**: 3.01 μB per formula unit
**Uncorrected energy**: -57.04 eV/cell

Unit cell a=5.890 b=5.890 c=5.247 alpha=90.00 beta=90.00 gamma=90.00
Space group P4/mmm (No. 123)
Symmetry-distinct sites (fractional):
Sr  0.000  0.000  0.000 (multiplicity 1)
P  0.000  0.500  0.000 (multiplicity 2)
S  0.500  0.500  0.500 (multiplicity 1)
Cl  0.000  0.000  0.500 (multiplicity 1)

(8)
Computed, not measured: a crystal of AlAgHPb2 relaxed with PBEsol at the meta-GGA SCAN level of DFT.

Calculated values
**Density of states at the Fermi level**: 1.92 states/eV/f.u.
**Magnetization**: 0.00 μB per formula unit
**Uncorrected energy**: -190.03 eV/cell

Unit cell a=5.360 b=5.360 c=4.809 alpha=90.00 beta=90.00 gamma=90.00
Space group P4/mmm (No. 123)
Symmetry-distinct sites (fractional):
Al  0.000  0.000  0.000 (multiplicity 1)
Ag  0.000  0.000  0.500 (multiplicity 1)
H  0.500  0.500  0.500 (multiplicity 1)
Pb  0.000  0.500  0.000 (multiplicity 2)